1.
A geometry-optimized VCrGa structure, computed with PBE-GGA.

Results
DOS at the Fermi energy: 0.36 states/eV/atom
calculated formation energy: -0.0269 eV/atom
symmetry: No. 12

Unit cell a=2.9333 b=4.9712 c=6.1728 alpha=78.53 beta=76.26 gamma=72.84
Atoms (fractional coordinates):
Cr 0.1197 0.2682 0.4925
Cr 0.8803 0.7318 0.5075
Ga 0.1591 0.8483 0.8334
Ga 0.8409 0.1517 0.1666
V 0.4429 0.3182 0.7960
V 0.5571 0.6818 0.2040



2.
A geometry-optimized V3CrGa4 structure, computed with PBE-GGA.

Results
DOS at the Fermi energy: 0.75 states/eV/atom
calculated formation energy: -0.0725 eV/atom
symmetry: No. 31

Unit cell a=5.3412 b=5.3774 c=7.7644 alpha=90.00 beta=90.00 gamma=90.00
Atoms (fractional coordinates):
V 0.8140 0.0005 0.0000
V 0.0637 0.7514 0.2488
V 0.5637 0.2486 0.2512
V 0.3140 0.9995 0.5000
V 0.5637 0.2486 0.7488
V 0.0637 0.7514 0.7512
Cr 0.8152 0.5012 0.0000
Cr 0.3152 0.4988 0.5000
Ga 0.3146 0.0006 0.0000
Ga 0.3158 0.4998 0.0000
Ga 0.0641 0.2529 0.2499
Ga 0.5641 0.7471 0.2501
Ga 0.8158 0.5002 0.5000
Ga 0.8146 0.9994 0.5000
Ga 0.5641 0.7471 0.7499
Ga 0.0641 0.2529 0.7501



3.
A geometry-optimized V6CrGa2 structure, computed with PBE-GGA.

Results
DOS at the Fermi energy: 1.07 states/eV/atom
calculated formation energy: 0.1186 eV/atom
symmetry: No. 12

Unit cell a=4.4573 b=6.5408 c=6.5408 alpha=46.30 beta=69.06 gamma=69.06
Atoms (fractional coordinates):
V 0.4046 0.3427 0.8589
V 0.2030 0.7929 0.7929
V 0.4046 0.8589 0.3427
V 0.5954 0.6573 0.1411
V 0.7970 0.2071 0.2071
V 0.5954 0.1411 0.6573
Cr 0.0000 0.0000 0.0000
Ga 0.8535 0.6500 0.6500
Ga 0.1465 0.3500 0.3500



4.
A geometry-optimized V6CrGa5 structure, computed with PBE-GGA.

Results
DOS at the Fermi energy: 0.64 states/eV/atom
calculated formation energy: -0.1571 eV/atom
symmetry: No. 65

Unit cell a=8.5325 b=3.9054 c=5.9339 alpha=70.79 beta=81.34 gamma=62.76
Atoms (fractional coordinates):
V 0.7665 0.0738 0.3175
V 0.2335 0.6075 0.3174
V 0.2533 0.2466 0.0001
V 0.7467 0.7534 0.9999
V 0.7665 0.3925 0.6826
V 0.2335 0.9262 0.6825
Cr 0.0000 0.0000 0.0000
Ga 0.5000 0.1718 0.6571
Ga 0.0000 0.3430 0.3130
Ga 0.5000 0.5000 0.0000
Ga 0.0000 0.6570 0.6870
Ga 0.5000 0.8282 0.3429



5.
A geometry-optimized V2CrGa structure, computed with PBE-GGA.

Results
DOS at the Fermi energy: 0.84 states/eV/atom
calculated formation energy: -0.1349 eV/atom
symmetry: No. 123

Unit cell a=3.0390 b=3.0390 c=5.7293 alpha=90.00 beta=90.00 gamma=90.00
Atoms (fractional coordinates):
Cr 0.5000 0.5000 0.0000
Ga 0.5000 0.5000 0.5000
V 0.0000 0.0000 0.7706
V 0.0000 0.0000 0.2294



6.
A geometry-optimized V2CrGa structure, computed with PBE-GGA.

Results
DOS at the Fermi energy: 0.79 states/eV/atom
calculated formation energy: -0.0814 eV/atom
symmetry: No. 10

Unit cell a=2.5695 b=4.1464 c=5.0863 alpha=90.00 beta=102.50 gamma=90.00
Atoms (fractional coordinates):
Cr 0.0000 0.0000 0.0000
Ga 0.5000 0.0000 0.5000
V 0.7688 0.5000 0.2327
V 0.2312 0.5000 0.7673



7.
A geometry-optimized V6Cr5Ga structure, computed with PBE-GGA.

Results
DOS at the Fermi energy: 0.85 states/eV/atom
calculated formation energy: -0.1010 eV/atom
symmetry: No. 71

Unit cell a=4.1327 b=5.8824 c=7.1904 alpha=114.15 beta=106.69 gamma=90.00
Atoms (fractional coordinates):
Cr 0.6611 0.1612 0.3224
Cr 0.3313 0.3313 0.6626
Cr 0.0000 0.5000 0.0000
Cr 0.6687 0.6687 0.3374
Cr 0.3389 0.8388 0.6776
Ga 0.0000 0.0000 0.0000
V 0.8295 0.5740 0.6592
V 0.8295 0.0852 0.6592
V 0.5000 0.7353 0.0000
V 0.5000 0.2647 0.0000
V 0.1705 0.9148 0.3408
V 0.1705 0.4260 0.3408



8.
A geometry-optimized ZrV2CrGa structure, computed with PBE-GGA.

Results
DOS at the Fermi energy: 1.19 states/eV/atom
calculated formation energy: 0.4977 eV/atom
symmetry: No. 123

Unit cell a=4.2891 b=4.6443 c=4.2891 alpha=90.00 beta=90.00 gamma=90.00
Atoms (fractional coordinates):
Cr 0.0000 0.0000 0.0000
Ga 0.0000 0.5000 0.0000
Zr 0.5000 0.5000 0.5000
V 0.0000 0.0000 0.5000
V 0.5000 0.0000 0.0000



9.
A geometry-optimized CrGaW structure, computed with PBE-GGA.

Results
DOS at the Fermi energy: 0.58 states/eV/atom
calculated formation energy: 0.0994 eV/atom
symmetry: No. 63

Unit cell a=4.2427 b=3.1758 c=6.6863 alpha=90.00 beta=108.50 gamma=90.00
Atoms (fractional coordinates):
Ga 0.4150 0.7500 0.8299
Ga 0.5850 0.2500 0.1701
W 0.7588 0.7500 0.5177
W 0.2412 0.2500 0.4824
Cr 0.9256 0.2500 0.8513
Cr 0.0744 0.7500 0.1487



10.
A geometry-optimized CrGa2W2 structure, computed with PBE-GGA.

Results
DOS at the Fermi energy: 1.00 states/eV/atom
calculated formation energy: 0.3591 eV/atom
symmetry: No. 127

Unit cell a=6.4839 b=6.4839 c=3.5256 alpha=90.00 beta=90.00 gamma=90.00
Atoms (fractional coordinates):
Cr 0.0000 0.0000 0.0000
Cr 0.5000 0.5000 0.0000
Ga 0.3652 0.8652 0.0000
Ga 0.8652 0.6348 0.0000
Ga 0.6348 0.1348 0.0000
Ga 0.1348 0.3652 0.0000
W 0.1685 0.6685 0.5000
W 0.6685 0.8315 0.5000
W 0.8315 0.3315 0.5000
W 0.3315 0.1685 0.5000



11.
A geometry-optimized CrGaW structure, computed with PBE-GGA.

Results
DOS at the Fermi energy: 0.97 states/eV/atom
calculated formation energy: 0.0785 eV/atom
symmetry: No. 107

Unit cell a=3.1427 b=3.1427 c=4.8566 alpha=108.88 beta=108.88 gamma=90.00
Site moments in Bohr magnetons follow the coordinates.
Atoms (fractional coordinates):
Cr 0.6739 0.6739 0.3479  0.34
W 0.3212 0.3212 0.6425  0.00
Ga 0.0048 0.0048 0.0097  -0.01



12.
A geometry-optimized CrGa3W structure, computed with PBE-GGA.

Results
DOS at the Fermi energy: 0.73 states/eV/atom
calculated formation energy: 0.8357 eV/atom
symmetry: No. 221

Unit cell a=4.8921 b=4.8921 c=4.8921 alpha=90.00 beta=90.00 gamma=90.00
Site moments in Bohr magnetons follow the coordinates.
Atoms (fractional coordinates):
Cr 0.5000 0.5000 0.5000  -4.14
Ga 0.0000 0.5000 0.0000  0.04
Ga 0.0000 0.0000 0.5000  0.06
Ga 0.5000 0.0000 0.0000  0.00
W 0.0000 0.0000 0.0000  0.39



Which formula does entry 12 have?
CrGa3W



Which value of calculated formation energy does entry 10 give?
0.3591 eV/atom



Among the records above, which one has the highest calculated formation energy?
CrGa3W



Among the records above, which one has the lowest DOS at the Fermi energy?
VCrGa